[1]
The following is a GGA-PBE calculation of TlSbCl6 after structural relaxation, from Alexandria.

Summary:
D(E_F) in states/eV per cell: 0.0
Total DFT energy (no corrections) in eV/atom: -2.983
V in Å³/atom: 33.078
Raw formation energy in meV/atom: -787
Spin magnetization in μB/f.u.: 0.00
Polymorph energy (0 for the lowest one) in eV per atom: 0.017

Unit cell a=6.921 b=6.923 c=7.520 alpha=90.00 beta=62.61 gamma=60.07
Space group P-1 (No. 2)
Asymmetric unit:
Tl: 0.000 0.000 0.000
Sb: 0.000 0.500 0.500
Cl: 0.167 0.511 0.718
Cl: 0.206 0.678 0.283
Cl: 0.395 0.117 0.282

[2]
The following is a GGA-PBE calculation of Cr3GaTe after structural relaxation, from Alexandria.

Summary:
D(E_F) in states/eV per cell: 2.1
Total DFT energy (no corrections) in eV/atom: -5.878
V in Å³/atom: 27.455
Raw formation energy in meV/atom: 1130
Spin magnetization in μB/f.u.: 13.00
Polymorph energy (0 for the lowest one) in eV per atom: 0.304

Unit cell a=5.159 b=5.159 c=5.159 alpha=90.00 beta=90.00 gamma=90.00
Space group Pm-3m (No. 221)
Asymmetric unit:
Cr: 0.000 0.000 0.500
Ga: 0.500 0.500 0.500
Te: 0.000 0.000 0.000

[3]
The following is a GGA-PBE calculation of LiYHoGa after structural relaxation, from Alexandria.

Summary:
D(E_F) in states/eV per cell: 13.2
Total DFT energy (no corrections) in eV/atom: -4.326
E_form in eV per atom: -0.330
V in Å³/atom: 23.300
Spin magnetization in μB/f.u.: 0.00

Unit cell a=7.197 b=7.197 c=7.197 alpha=90.00 beta=90.00 gamma=90.00
Space group F-43m (No. 216)
Asymmetric unit:
Li: 0.000 0.000 0.000
Y: 0.250 0.250 0.750
Ho: 0.250 0.250 0.250
Ga: 0.000 0.000 0.500

[4]
The following is a GGA-PBE calculation of La8Rh3NCl4 after structural relaxation, from Alexandria.

Summary:
D(E_F) in states/eV per cell: 20.3
Total DFT energy (no corrections) in eV/atom: -6.117
V in Å³/atom: 27.120
Raw formation energy in meV/atom: -1293
Spin magnetization in μB/f.u.: 0.75

Unit cell a=14.201 b=8.013 c=8.971 alpha=90.00 beta=121.78 gamma=90.00
Space group C2/m (No. 12)
Asymmetric unit:
La: 0.007 0.227 0.302
La: 0.232 0.000 0.705
La: 0.239 0.500 0.710
Rh: 0.000 0.500 0.500
Rh: 0.250 0.250 0.500
N: 0.000 0.000 0.500
Cl: 0.000 0.000 0.000
Cl: 0.000 0.500 0.000
Cl: 0.250 0.250 0.000

[5]
The following is a GGA-PBE calculation of MgZrZnHg after structural relaxation, from Alexandria.

Summary:
D(E_F) in states/eV per cell: 6.7
Total DFT energy (no corrections) in eV/atom: -3.085
E_form in eV per atom: -0.155
V in Å³/atom: 19.763
Spin magnetization in μB/f.u.: 0.00

Unit cell a=6.813 b=6.813 c=6.813 alpha=90.00 beta=90.00 gamma=90.00
Space group F-43m (No. 216)
Asymmetric unit:
Mg: 0.000 0.000 0.000
Zr: 0.000 0.000 0.500
Zn: 0.250 0.250 0.750
Hg: 0.250 0.250 0.250

What did the second record say?
The following is a GGA-PBE calculation of Cr3GaTe after structural relaxation, from Alexandria.

Summary:
D(E_F) in states/eV per cell: 2.1
Total DFT energy (no corrections) in eV/atom: -5.878
V in Å³/atom: 27.455
Raw formation energy in meV/atom: 1130
Spin magnetization in μB/f.u.: 13.00
Polymorph energy (0 for the lowest one) in eV per atom: 0.304

Unit cell a=5.159 b=5.159 c=5.159 alpha=90.00 beta=90.00 gamma=90.00
Space group Pm-3m (No. 221)
Asymmetric unit:
Cr: 0.000 0.000 0.500
Ga: 0.500 0.500 0.500
Te: 0.000 0.000 0.000

> Which of these has the highest D(E_F)?

La8Rh3NCl4

Repeat the second record exactly.
The following is a GGA-PBE calculation of Cr3GaTe after structural relaxation, from Alexandria.

Summary:
D(E_F) in states/eV per cell: 2.1
Total DFT energy (no corrections) in eV/atom: -5.878
V in Å³/atom: 27.455
Raw formation energy in meV/atom: 1130
Spin magnetization in μB/f.u.: 13.00
Polymorph energy (0 for the lowest one) in eV per atom: 0.304

Unit cell a=5.159 b=5.159 c=5.159 alpha=90.00 beta=90.00 gamma=90.00
Space group Pm-3m (No. 221)
Asymmetric unit:
Cr: 0.000 0.000 0.500
Ga: 0.500 0.500 0.500
Te: 0.000 0.000 0.000